Compound: YCuP2Cl
Source: Alexandria
Functional: PBE-GGA
Structure: optimized geometry

Calculated values
Relative energy among the computed polymorphs: 0.0000 eV per atom

Cell lengths 4.409, 4.409, 5.110 Å; angles 90.00, 90.00, 90.00 degrees
Space group P4/mmm (No. 123)
One atom of each set of equivalent atoms:
Y: 0.000 0.000 0.000 [1 per cell]
Cu: 0.500 0.500 0.500 [1 per cell]
P: 0.000 0.500 0.500 [2 per cell]
Cl: 0.500 0.500 0.000 [1 per cell]

---

Compound: SnP2SF
Source: Alexandria
Functional: PBE-GGA
Structure: optimized geometry

Calculated values
Relative energy among the computed polymorphs: 0.0000 eV per atom

Cell lengths 4.103, 4.103, 5.871 Å; angles 90.00, 90.00, 90.00 degrees
Space group P4/mmm (No. 123)
One atom of each set of equivalent atoms:
Sn: 0.000 0.000 0.000 [1 per cell]
P: 0.000 0.500 0.500 [2 per cell]
S: 0.500 0.500 0.000 [1 per cell]
F: 0.500 0.500 0.500 [1 per cell]

---

Compound: Ac2UGe3Ir4
Source: Alexandria
Functional: PBE-GGA
Structure: optimized geometry

Calculated values
E_form: -0.68 eV per atom

Cell lengths 4.348, 4.348, 11.103 Å; angles 90.00, 90.00, 90.00 degrees
Space group P-4m2 (No. 115)
One atom of each set of equivalent atoms:
Ac: 0.000 0.500 0.234 [2 per cell]
U: 0.000 0.000 0.500 [1 per cell]
Ge: 0.000 0.500 0.879 [2 per cell]
Ge: 0.500 0.500 0.500 [1 per cell]
Ir: 0.000 0.000 0.000 [1 per cell]
Ir: 0.000 0.500 0.647 [2 per cell]
Ir: 0.500 0.500 0.000 [1 per cell]

---

Compound: Os2RhAu
Source: Alexandria
Functional: PBE-GGA
Structure: optimized geometry

Calculated values
E_form: 0.73 eV per atom
Relative energy among the computed polymorphs: 0.5176 eV per atom

Cell lengths 6.285, 6.285, 6.285 Å; angles 90.00, 90.00, 90.00 degrees
Space group F-43m (No. 216)
One atom of each set of equivalent atoms:
Os: 0.000 0.000 0.000 [4 per cell]
Os: 0.250 0.250 0.250 [4 per cell]
Rh: 0.000 0.000 0.500 [4 per cell]
Au: 0.250 0.250 0.750 [4 per cell]

---

Compound: FeHg2Pb
Source: Alexandria
Functional: PBE-GGA
Structure: optimized geometry

Calculated values
E_form: 0.49 eV per atom

Cell lengths 4.319, 4.319, 4.817 Å; angles 90.00, 90.00, 90.00 degrees
Space group P4/mmm (No. 123)
One atom of each set of equivalent atoms:
Fe: 0.000 0.000 0.000 [1 per cell]
Hg: 0.000 0.500 0.500 [2 per cell]
Pb: 0.500 0.500 0.000 [1 per cell]

---

Compound: BeReTc2
Source: Alexandria
Functional: PBE-GGA
Structure: optimized geometry

Calculated values
E_form: 0.00 eV per atom

Cell lengths 3.025, 4.163, 8.471 Å; angles 90.00, 90.00, 90.00 degrees
Space group Imm2 (No. 44)
One atom of each set of equivalent atoms:
Be: 0.000 0.000 0.000 [2 per cell]
Re: 0.000 0.500 0.741 [2 per cell]
Tc: 0.000 0.000 0.499 [2 per cell]
Tc: 0.000 0.500 0.259 [2 per cell]

---

Compound: Pr2Ho2Tm7
Source: Alexandria
Functional: PBE-GGA
Structure: optimized geometry

Calculated values
E_form: 0.16 eV per atom

Cell lengths 11.165, 11.467, 6.045 Å; angles 90.00, 114.02, 90.00 degrees
Space group C2/m (No. 12)
One atom of each set of equivalent atoms:
Pr: 0.096 0.000 0.308 [4 per cell]
Ho: 0.000 0.289 0.000 [4 per cell]
Tm: 0.000 0.500 0.500 [2 per cell]
Tm: 0.174 0.262 0.680 [8 per cell]
Tm: 0.229 0.500 0.076 [4 per cell]

---

Compound: TbDyTm2S6
Source: Alexandria
Functional: PBE-GGA
Structure: optimized geometry

Calculated values
VASP energy: -6.36 eV per atom

Cell lengths 6.8681, 6.8681, 18.4092 Å; angles 90.00, 90.00, 120.00 degrees
Space group R3 (No. 146, hexagonal axes)
One atom of each set of equivalent atoms:
Tb: 0.0000 0.0000 0.0000 [3 per cell]
Dy: 0.0000 0.0000 0.4994 [3 per cell]
Tm: 0.0000 0.0000 0.2990 [3 per cell]
Tm: 0.0000 0.0000 0.7993 [3 per cell]
S: 0.0080 0.7024 0.8972 [9 per cell]
S: 0.0098 0.3054 0.3974 [9 per cell]

---

Compound: TiNi3As
Source: Alexandria
Functional: PBE-GGA
Structure: optimized geometry

Calculated values
E_form: 0.31 eV per atom
Relative energy among the computed polymorphs: 0.2820 eV per atom

Cell lengths 4.293, 4.293, 4.293 Å; angles 90.00, 90.00, 90.00 degrees
Space group Pm-3m (No. 221)
One atom of each set of equivalent atoms:
Ti: 0.000 0.000 0.000 [1 per cell]
Ni: 0.000 0.500 0.500 [3 per cell]
As: 0.500 0.500 0.500 [1 per cell]

---

Compound: ZrCuPd
Source: Alexandria
Functional: PBE-GGA
Structure: optimized geometry

Calculated values
E_form: -0.38 eV per atom
Relative energy among the computed polymorphs: 0.1125 eV per atom

Cell lengths 12.352, 3.782, 4.289 Å; angles 90.00, 90.38, 90.00 degrees
Space group C2/m (No. 12)
One atom of each set of equivalent atoms:
Zr: 0.099 0.000 0.252 [4 per cell]
Cu: 0.243 0.000 0.754 [4 per cell]
Pd: 0.080 0.500 0.751 [4 per cell]

---

Compound: Ti5Co2ReRh2
Source: Alexandria
Functional: PBE-GGA
Structure: optimized geometry

Calculated values
E_form: -0.28 eV per atom

Cell lengths 9.852, 9.852, 3.080 Å; angles 90.00, 90.00, 90.00 degrees
Space group P4/mbm (No. 127)
One atom of each set of equivalent atoms:
Ti: 0.000 0.500 0.000 [2 per cell]
Ti: 0.083 0.196 0.000 [8 per cell]
Co: 0.127 0.373 0.500 [4 per cell]
Re: 0.000 0.000 0.500 [2 per cell]
Rh: 0.168 0.668 0.500 [4 per cell]

---

Compound: BaNdCuO3
Source: Alexandria
Functional: PBE-GGA
Structure: optimized geometry

Calculated values
VASP energy: -6.61 eV per atom

Cell lengths 3.907, 13.618, 8.555 Å; angles 90.00, 90.00, 90.00 degrees
Space group Cmcm (No. 63)
One atom of each set of equivalent atoms:
Ba: 0.000 0.193 0.250 [4 per cell]
Nd: 0.000 0.500 0.000 [4 per cell]
Cu: 0.000 0.110 0.750 [4 per cell]
O: 0.000 0.111 0.538 [8 per cell]
O: 0.000 0.427 0.750 [4 per cell]

---

Compound: BaNaGe
Source: Alexandria
Functional: PBE-GGA
Structure: optimized geometry

Calculated values
E_form: -0.25 eV per atom

Cell lengths 4.276, 4.551, 13.916 Å; angles 87.78, 89.34, 63.47 degrees
Space group P-1 (No. 2)
One atom of each set of equivalent atoms:
Ba: 0.006 0.465 0.170 [2 per cell]
Na: 0.335 0.824 0.409 [2 per cell]
Ge: 0.332 0.827 0.021 [2 per cell]